Entry 1:
A plane-wave DFT calculation with PBE was carried out for crystalline Na3CI at its relaxed geometry.

Lattice parameters (Å, degrees): 5.9255 5.9255 5.9255 90.00 90.00 90.00
Closest atoms and distances in Å follow each position.
Sites, in units of the cell vectors:
Na (0.0000, 0.0000, 0.5000)  2 I 2.96
Na (0.0000, 0.5000, 0.0000)  2 I 2.96
Na (0.5000, 0.0000, 0.0000)  2 I 2.96
C (0.5000, 0.5000, 0.5000)  12 Na 4.19
I (0.0000, 0.0000, 0.0000)  6 Na 2.96

Values from the calculation:
Its space-group type is Pm-3m, No. 221. The volume is 208.1 Å³ per cell. Its formation energy from raw total energies is 0.897 eV/atom.

Entry 2:
A plane-wave DFT calculation with PBE was carried out for crystalline Be2ReP at its relaxed geometry.

Lattice parameters (Å, degrees): 7.4636 7.4636 7.4636 21.13 21.13 21.13
Closest atoms and distances in Å follow each position.
Sites, in units of the cell vectors:
Be (0.2440, 0.2440, 0.2440)  3 P 2.32, 3 Re 2.51
Be (0.7560, 0.7560, 0.7560)  3 P 2.32, 3 Re 2.51
Re (0.0000, 0.0000, 0.0000)  6 Be 2.51, 6 Re 2.74
P (0.5000, 0.5000, 0.5000)  6 Be 2.32

Values from the calculation:
Its space-group type is R-3m, No. 166. The volume is 47.3 Å³ per cell. Its calculated formation energy is 0.242 eV per atom.

Entry 3:
A plane-wave DFT calculation with PBE was carried out for crystalline AlGa2FeTc at its relaxed geometry.

Lattice parameters (Å, degrees): 4.4803 4.4803 4.5214 90.00 90.00 90.00
Closest atoms and distances in Å follow each position.
Sites, in units of the cell vectors:
Al (0.0000, 0.0000, 0.0000)  4 Tc 3.17, 8 Ga 3.18
Ga (0.0000, 0.5000, 0.5000)  2 Fe 2.24
Ga (0.5000, 0.0000, 0.5000)  2 Fe 2.24
Fe (0.5000, 0.5000, 0.5000)  4 Ga 2.24, 2 Tc 2.26
Tc (0.5000, 0.5000, 0.0000)  2 Fe 2.26

Values from the calculation:
Its space-group type is P4/mmm, No. 123. The volume is 90.8 Å³ per cell. Its calculated formation energy is 0.593 eV per atom.

Entry 4:
A plane-wave DFT calculation with PBE was carried out for crystalline K3Dy2HfTe6 at its relaxed geometry.

Lattice parameters (Å, degrees): 7.5804 7.5804 8.6632 98.41 98.41 120.01
Closest atoms and distances in Å follow each position.
Sites, in units of the cell vectors:
K (0.0000, 0.0000, 0.0000)  6 Te 3.47-3.59
K (0.3282, 0.6718, 0.0000)  6 Te 3.47-3.55
K (0.6718, 0.3282, 0.0000)  6 Te 3.47-3.55
Dy (0.1659, 0.8341, 0.5000)  6 Te 3.10
Dy (0.8341, 0.1659, 0.5000)  6 Te 3.10
Hf (0.5000, 0.5000, 0.5000)  6 Te 2.96
Te (0.1127, 0.4316, 0.2941)  1 Hf 2.96, 2 Dy 3.10
Te (0.2513, 0.2513, 0.7075)  1 Hf 2.96, 2 Dy 3.10
Te (0.4316, 0.1127, 0.2941)  1 Hf 2.96, 2 Dy 3.10
Te (0.5684, 0.8873, 0.7059)  1 Hf 2.96, 2 Dy 3.10
Te (0.7487, 0.7487, 0.2925)  1 Hf 2.96, 2 Dy 3.10
Te (0.8873, 0.5684, 0.7059)  1 Hf 2.96, 2 Dy 3.10

Values from the calculation:
Its space-group type is C2/m, No. 12. The volume is 412.2 Å³ per cell. Its formation energy from raw total energies is -1.204 eV/atom.

Entry 5:
A plane-wave DFT calculation with PBE was carried out for crystalline LiCd2Cl at its relaxed geometry.

Lattice parameters (Å, degrees): 5.1710 5.1710 5.1710 60.00 60.00 60.00
Closest atoms and distances in Å follow each position.
Sites, in units of the cell vectors:
Li (0.0000, 0.0000, 0.0000)  4 Cl 3.17, 4 Cd 3.17
Cd (0.2500, 0.2500, 0.2500)  4 Cd 3.17, 4 Li 3.17
Cd (0.5000, 0.5000, 0.5000)  4 Cl 3.17, 4 Cd 3.17
Cl (0.7500, 0.7500, 0.7500)  4 Cd 3.17, 4 Li 3.17

Values from the calculation:
Its space-group type is F-43m, No. 216. The volume is 97.8 Å³ per cell. Its formation energy from raw total energies is -0.334 eV/atom.

Entry 6:
A plane-wave DFT calculation with PBE was carried out for crystalline BaLa2Si at its relaxed geometry.

Lattice parameters (Å, degrees): 7.4073 7.4073 7.4073 102.53 102.53 124.48
Closest atoms and distances in Å follow each position.
Sites, in units of the cell vectors:
Ba (0.0000, 0.0000, 0.0000)  2 Si 3.45, 8 La 3.85-3.86
Ba (0.7500, 0.2500, 0.5000)  2 Si 3.45, 8 La 3.85-3.86
La (0.1929, 0.1250, 0.5679)  2 Si 2.99
La (0.3750, 0.8071, 0.9321)  2 Si 2.99
La (0.5571, 0.6250, 0.4321)  2 Si 2.99
La (0.8750, 0.4429, 0.0679)  2 Si 2.99
Si (0.2500, 0.7500, 0.5000)  4 La 2.99
Si (0.5000, 0.5000, 0.0000)  4 La 2.99

Values from the calculation:
Its space-group type is I-42d, No. 122. The volume is 296.5 Å³ per cell. Its formation energy from raw total energies is -0.043 eV/atom.

Entry 7:
A plane-wave DFT calculation with PBE was carried out for crystalline CsRbHg at its relaxed geometry.

Lattice parameters (Å, degrees): 5.4348 5.4348 8.1147 90.00 90.00 120.00
Closest atoms and distances in Å follow each position.
Sites, in units of the cell vectors:
Cs (0.0000, 0.0000, 0.0000)  3 Hg 3.83
Rb (0.6667, 0.3333, 0.4818)  3 Hg 3.73
Hg (0.3333, 0.6667, 0.7293)  3 Rb 3.73, 3 Cs 3.83

Values from the calculation:
Its space-group type is P3m1, No. 156. The volume is 207.6 Å³ per cell. Its calculated formation energy is -0.124 eV per atom.

Entry 8:
A plane-wave DFT calculation with PBE was carried out for crystalline ZnSi2Tc at its relaxed geometry.

Lattice parameters (Å, degrees): 4.2952 4.2952 3.0447 90.00 90.00 100.49
Closest atoms and distances in Å follow each position.
Sites, in units of the cell vectors:
Zn (0.0000, 0.0000, 0.0000)  8 Si 2.63, 2 Tc 2.75
Si (0.0000, 0.5000, 0.5000)  4 Tc 2.63, 4 Zn 2.63, 2 Si 2.75
Si (0.5000, 0.0000, 0.5000)  4 Tc 2.63, 4 Zn 2.63, 2 Si 2.75
Tc (0.5000, 0.5000, 0.0000)  8 Si 2.63, 2 Zn 2.75

Values from the calculation:
Its space-group type is Cmmm, No. 65. The volume is 55.2 Å³ per cell. Its formation energy from raw total energies is 0.103 eV/atom.

Entry 9:
A plane-wave DFT calculation with PBE was carried out for crystalline Pm3Ge at its relaxed geometry.

Lattice parameters (Å, degrees): 5.3944 5.3944 5.3944 60.00 60.00 60.00
Closest atoms and distances in Å follow each position.
Sites, in units of the cell vectors:
Pm (0.0000, 0.0000, 0.0000)  8 Pm 3.30
Pm (0.2500, 0.2500, 0.2500)  4 Ge 3.30, 4 Pm 3.30
Pm (0.7500, 0.7500, 0.7500)  4 Ge 3.30, 4 Pm 3.30
Ge (0.5000, 0.5000, 0.5000)  8 Pm 3.30

Values from the calculation:
Its space-group type is Fm-3m, No. 225. The volume is 111.0 Å³ per cell. Its calculated formation energy is -0.113 eV per atom.

Entry 10:
A plane-wave DFT calculation with PBE was carried out for crystalline Cs3HoSc2Se6 at its relaxed geometry.

Lattice parameters (Å, degrees): 7.1590 7.1590 8.6446 97.94 97.94 120.00
Closest atoms and distances in Å follow each position.
Sites, in units of the cell vectors:
Cs (0.0000, 0.0000, 0.0000)  6 Se 3.53-3.60
Cs (0.3357, 0.6643, 0.0000)  6 Se 3.54-3.60
Cs (0.6643, 0.3357, 0.0000)  6 Se 3.54-3.60
Ho (0.5000, 0.5000, 0.5000)  6 Se 2.88
Sc (0.1668, 0.8332, 0.5000)  6 Se 2.78
Sc (0.8332, 0.1668, 0.5000)  6 Se 2.78
Se (0.0960, 0.4401, 0.3202)  2 Sc 2.78, 1 Ho 2.88
Se (0.2156, 0.2156, 0.6787)  2 Sc 2.78, 1 Ho 2.88
Se (0.4401, 0.0960, 0.3202)  2 Sc 2.78, 1 Ho 2.88
Se (0.5599, 0.9040, 0.6798)  2 Sc 2.78, 1 Ho 2.88
Se (0.7844, 0.7844, 0.3213)  2 Sc 2.78, 1 Ho 2.88
Se (0.9040, 0.5599, 0.6798)  2 Sc 2.78, 1 Ho 2.88

Values from the calculation:
Its space-group type is C2/m, No. 12. The volume is 368.8 Å³ per cell. Its formation energy from raw total energies is -1.616 eV/atom.

Entry 11:
A plane-wave DFT calculation with PBE was carried out for crystalline Sc2NiBr at its relaxed geometry.

Lattice parameters (Å, degrees): 4.8582 4.8582 3.1491 90.00 90.00 95.36
Closest atoms and distances in Å follow each position.
Sites, in units of the cell vectors:
Sc (0.0000, 0.5000, 0.0000)  4 Br 2.89, 4 Ni 2.89, 2 Sc 3.15
Sc (0.5000, 0.0000, 0.0000)  4 Br 2.89, 4 Ni 2.89, 2 Sc 3.15
Ni (0.0000, 0.0000, 0.5000)  8 Sc 2.89, 2 Ni 3.15
Br (0.5000, 0.5000, 0.5000)  8 Sc 2.89, 2 Br 3.15

Values from the calculation:
Its space-group type is Cmmm, No. 65. The volume is 74.0 Å³ per cell. Its formation energy from raw total energies is -0.340 eV/atom.

Entry 12:
A plane-wave DFT calculation with PBE was carried out for crystalline BaMg at its relaxed geometry.

Lattice parameters (Å, degrees): 7.5217 7.5217 8.3193 105.09 105.09 33.04
Closest atoms and distances in Å follow each position.
Sites, in units of the cell vectors:
Ba (0.0000, 0.0000, 0.0000)  6 Ba 3.87-4.28, 6 Mg 3.92-4.13
Ba (0.0249, 0.0249, 0.4822)  6 Mg 3.70-3.87, 1 Ba 3.93
Ba (0.7210, 0.7210, 0.8578)  5 Mg 3.65-4.03, 1 Ba 3.87
Mg (0.3373, 0.3373, 0.2100)  3 Mg 3.17-3.30
Mg (0.3405, 0.3405, 0.6079)  3 Mg 3.29-3.30
Mg (0.7111, 0.7111, 0.3376)  4 Mg 3.17-3.29

Values from the calculation:
Its space-group type is Cm, No. 8. The volume is 247.0 Å³ per cell. Its calculated formation energy is 0.008 eV per atom.

Question: volume of number 11 (Sc2NiBr)?
Answer: 74.0 Å³ per cell

Question: volume of number 1 (Na3CI)?
Answer: 208.1 Å³ per cell

Question: What is the formula in the ninth record?
Answer: Pm3Ge

Question: Which of these has the lowest volume?
Answer: Be2ReP